(1)
## ScCdAg3 (PBE)

Data for a geometry-optimized ScCdAg3 structure.

```
data_ScCdAg3
_chemical_formula_sum 'Sc2 Cd2 Ag6'
_cell_length_a 5.0482
_cell_length_b 5.0525
_cell_length_c 7.9949
_cell_angle_alpha 71.59
_cell_angle_beta 86.78
_cell_angle_gamma 80.01
_space_group_name_H-M_alt 'P -1'
_space_group_IT_number 2
_space_group_name_Hall '-P 1'
loop_
_atom_site_label
_atom_site_type_symbol
_atom_site_fract_x
_atom_site_fract_y
_atom_site_fract_z
Sc1 Sc 0.2504 0.1481 0.2030
Cd1 Cd 0.2497 0.3522 0.7952
Ag1 Ag 0.2501 0.5482 0.4033
Ag2 Ag 0.2500 0.7489 0.0016
Ag3 Ag 0.2500 0.9517 0.5963
```

The calculation puts the distance to the lowest polymorph of the same formula at 0 meV per atom.

(2)
## Pm6Sb3Te2Se (PBE)

Data for a geometry-optimized Pm6Sb3Te2Se structure.

```
data_Pm6Sb3Te2Se
_chemical_formula_sum 'Pm12 Sb6 Te4 Se2'
_cell_length_a 19.3663
_cell_length_b 4.4449
_cell_length_c 8.8790
_cell_angle_alpha 90.00
_cell_angle_beta 103.14
_cell_angle_gamma 90.00
_space_group_name_H-M_alt 'C 1 2/m 1'
_space_group_IT_number 12
_space_group_name_Hall '-C 2y'
loop_
_atom_site_label
_atom_site_type_symbol
_atom_site_fract_x
_atom_site_fract_y
_atom_site_fract_z
Pm1 Pm 0.0034 0.0000 0.2586
Pm2 Pm 0.1616 0.5000 0.5753
Pm3 Pm 0.1638 0.5000 0.0895
Sb1 Sb 0.0000 0.5000 0.0000
Sb2 Sb 0.1696 0.0000 0.3358
Te1 Te 0.1660 0.0000 0.8338
Se1 Se 0.0000 0.5000 0.5000
```

For the energy relative to the elements, uncorrected, the calculation gives -1392 meV/atom.

(3)
## UCuPtAu (PBE)

Data for a geometry-optimized UCuPtAu structure.

```
data_UCuPtAu
_chemical_formula_sum 'U4 Cu4 Pt4 Au4'
_cell_length_a 6.7070
_cell_length_b 6.7070
_cell_length_c 6.7070
_cell_angle_alpha 90.00
_cell_angle_beta 90.00
_cell_angle_gamma 90.00
_space_group_name_H-M_alt 'F -4 3 m'
_space_group_IT_number 216
_space_group_name_Hall 'F -4 2 3'
loop_
_atom_site_label
_atom_site_type_symbol
_atom_site_fract_x
_atom_site_fract_y
_atom_site_fract_z
U1 U 0.0000 0.0000 0.0000
Cu1 Cu 0.0000 0.0000 0.5000
Pt1 Pt 0.2500 0.2500 0.2500
Au1 Au 0.2500 0.2500 0.7500
```

The total energy comes out at -6.394 eV per atom.

(4)
## La3TlHg (PBE)

Data for a geometry-optimized La3TlHg structure.

```
data_La3TlHg
_chemical_formula_sum 'La12 Tl4 Hg4'
_cell_length_a 5.5996
_cell_length_b 20.3549
_cell_length_c 5.5870
_cell_angle_alpha 90.00
_cell_angle_beta 90.00
_cell_angle_gamma 90.00
_space_group_name_H-M_alt 'C m c m'
_space_group_IT_number 63
_space_group_name_Hall '-C 2c 2'
loop_
_atom_site_label
_atom_site_type_symbol
_atom_site_fract_x
_atom_site_fract_y
_atom_site_fract_z
La1 La 0.0000 0.0543 0.2500
La2 La 0.0000 0.2470 0.2500
La3 La 0.0000 0.4368 0.2500
Tl1 Tl 0.0000 0.1510 0.7500
Hg1 Hg 0.0000 0.3514 0.7500
```

The calculation puts the distance to the lowest polymorph of the same formula at 0 meV per atom.

(5)
## ScTcRh (PBE)

Data for a geometry-optimized ScTcRh structure.

```
data_ScTcRh
_chemical_formula_sum 'Sc4 Tc4 Rh4'
_cell_length_a 6.0933
_cell_length_b 6.0933
_cell_length_c 6.0933
_cell_angle_alpha 90.00
_cell_angle_beta 90.00
_cell_angle_gamma 90.00
_space_group_name_H-M_alt 'F -4 3 m'
_space_group_IT_number 216
_space_group_name_Hall 'F -4 2 3'
loop_
_atom_site_label
_atom_site_type_symbol
_atom_site_fract_x
_atom_site_fract_y
_atom_site_fract_z
Sc1 Sc 0.0000 0.0000 0.0000
Tc1 Tc 0.0000 0.0000 0.5000
Rh1 Rh 0.2500 0.2500 0.2500
```

The calculation puts the distance to the lowest polymorph of the same formula at 351 meV per atom.

(6)
## TbPm5Sn2 (PBE)

Data for a geometry-optimized TbPm5Sn2 structure.

```
data_TbPm5Sn2
_chemical_formula_sum 'Tb2 Pm10 Sn4'
_cell_length_a 4.6031
_cell_length_b 10.0508
_cell_length_c 11.1665
_cell_angle_alpha 90.00
_cell_angle_beta 90.00
_cell_angle_gamma 90.00
_space_group_name_H-M_alt 'I m m m'
_space_group_IT_number 71
_space_group_name_Hall '-I 2 2'
loop_
_atom_site_label
_atom_site_type_symbol
_atom_site_fract_x
_atom_site_fract_y
_atom_site_fract_z
Tb1 Tb 0.0000 0.0000 0.0000
Pm1 Pm 0.0000 0.1869 0.3429
Pm2 Pm 0.0000 0.5000 0.0000
Sn1 Sn 0.0000 0.5000 0.2964
```

The total energy comes out at -4.835 eV per atom.

(7)
## Pm2Zn5Pb (PBE)

Data for a geometry-optimized Pm2Zn5Pb structure.

```
data_Pm2Zn5Pb
_chemical_formula_sum 'Pm8 Zn20 Pb4'
_cell_length_a 4.4608
_cell_length_b 16.6328
_cell_length_c 9.1339
_cell_angle_alpha 90.00
_cell_angle_beta 90.00
_cell_angle_gamma 90.00
_space_group_name_H-M_alt 'C m c m'
_space_group_IT_number 63
_space_group_name_Hall '-C 2c 2'
loop_
_atom_site_label
_atom_site_type_symbol
_atom_site_fract_x
_atom_site_fract_y
_atom_site_fract_z
Pm1 Pm 0.0000 0.0000 0.0000
Pm2 Pm 0.0000 0.2044 0.2500
Zn1 Zn 0.0000 0.1858 0.6095
Zn2 Zn 0.0000 0.3410 0.5154
Zn3 Zn 0.0000 0.3900 0.2500
Pb1 Pb 0.0000 0.4471 0.7500
```

The total energy comes out at -2.818 eV per atom.

(8)
## LaPm2NdEr5 (PBE)

Data for a geometry-optimized LaPm2NdEr5 structure.

```
data_LaPm2NdEr5
_chemical_formula_sum 'La4 Pm8 Nd4 Er20'
_cell_length_a 8.7259
_cell_length_b 8.7259
_cell_length_c 15.5624
_cell_angle_alpha 90.00
_cell_angle_beta 90.00
_cell_angle_gamma 90.00
_space_group_name_H-M_alt 'I 4/m c m'
_space_group_IT_number 140
_space_group_name_Hall '-I 4 2c'
loop_
_atom_site_label
_atom_site_type_symbol
_atom_site_fract_x
_atom_site_fract_y
_atom_site_fract_z
La1 La 0.0000 0.0000 0.2500
Pm1 Pm 0.1171 0.3829 0.0000
Nd1 Nd 0.0000 0.5000 0.2500
Er1 Er 0.0000 0.0000 0.0000
Er2 Er 0.2080 0.2920 0.3649
```

The total energy comes out at -4.421 eV per atom.

(9)
## YAgPd2 (PBE)

Data for a geometry-optimized YAgPd2 structure.

```
data_YAgPd2
_chemical_formula_sum 'Y4 Ag4 Pd8'
_cell_length_a 7.4505
_cell_length_b 7.4505
_cell_length_c 5.8525
_cell_angle_alpha 90.00
_cell_angle_beta 90.00
_cell_angle_gamma 90.00
_space_group_name_H-M_alt 'I -4 2 d'
_space_group_IT_number 122
_space_group_name_Hall 'I -4 2bw'
loop_
_atom_site_label
_atom_site_type_symbol
_atom_site_fract_x
_atom_site_fract_y
_atom_site_fract_z
Y1 Y 0.0000 0.0000 0.0000
Ag1 Ag 0.0000 0.0000 0.5000
Pd1 Pd 0.2422 0.2500 0.6250
```

The calculation puts the distance to the lowest polymorph of the same formula at 326 meV per atom.

(10)
## Sc4ZnPtO (PBE)

Data for a geometry-optimized Sc4ZnPtO structure.

```
data_Sc4ZnPtO
_chemical_formula_sum 'Sc16 Zn4 Pt4 O4'
_cell_length_a 6.0748
_cell_length_b 13.9131
_cell_length_c 6.0662
_cell_angle_alpha 90.00
_cell_angle_beta 90.00
_cell_angle_gamma 90.00
_space_group_name_H-M_alt 'C m c m'
_space_group_IT_number 63
_space_group_name_Hall '-C 2c 2'
loop_
_atom_site_label
_atom_site_type_symbol
_atom_site_fract_x
_atom_site_fract_y
_atom_site_fract_z
Sc1 Sc 0.0000 0.0680 0.2500
Sc2 Sc 0.0000 0.4229 0.2500
Sc3 Sc 0.2500 0.2500 0.0000
Zn1 Zn 0.0000 0.3822 0.7500
Pt1 Pt 0.0000 0.1187 0.7500
O1 O 0.0000 0.2530 0.2500
```

For the energy relative to the elements, uncorrected, the calculation gives -1259 meV/atom.

(11)
## BaTc2PN2 (PBE)

Data for a geometry-optimized BaTc2PN2 structure.

```
data_BaTc2PN2
_chemical_formula_sum 'Ba2 Tc4 P2 N4'
_cell_length_a 6.7184
_cell_length_b 5.3122
_cell_length_c 7.4069
_cell_angle_alpha 90.00
_cell_angle_beta 110.25
_cell_angle_gamma 90.00
_space_group_name_H-M_alt 'P 1 21/m 1'
_space_group_IT_number 11
_space_group_name_Hall '-P 2yb'
loop_
_atom_site_label
_atom_site_type_symbol
_atom_site_fract_x
_atom_site_fract_y
_atom_site_fract_z
Ba1 Ba 0.1688 0.2500 0.3121
Tc1 Tc 0.3691 0.0002 0.8053
P1 P 0.3131 0.7500 0.0550
N1 N 0.1542 0.2500 0.7040
N2 N 0.4138 0.7500 0.6389
```

For the energy relative to the elements, uncorrected, the calculation gives -450 meV/atom.

(12)
## Co4HgW (PBE)

Data for a geometry-optimized Co4HgW structure.

```
data_Co4HgW
_chemical_formula_sum 'Co16 Hg4 W4'
_cell_length_a 6.7140
_cell_length_b 6.7140
_cell_length_c 6.7140
_cell_angle_alpha 90.00
_cell_angle_beta 90.00
_cell_angle_gamma 90.00
_space_group_name_H-M_alt 'F -4 3 m'
_space_group_IT_number 216
_space_group_name_Hall 'F -4 2 3'
loop_
_atom_site_label
_atom_site_type_symbol
_atom_site_fract_x
_atom_site_fract_y
_atom_site_fract_z
Co1 Co 0.1249 0.1249 0.1249
Hg1 Hg 0.2500 0.2500 0.7500
W1 W 0.0000 0.0000 0.5000
```

The total energy comes out at -6.658 eV per atom.

(13)
## Bi2BI (PBE)

Data for a geometry-optimized Bi2BI structure.

```
data_Bi2BI
_chemical_formula_sum 'Bi8 B4 I4'
_cell_length_a 7.5071
_cell_length_b 7.5071
_cell_length_c 7.5071
_cell_angle_alpha 90.00
_cell_angle_beta 90.00
_cell_angle_gamma 90.00
_space_group_name_H-M_alt 'F m -3 m'
_space_group_IT_number 225
_space_group_name_Hall '-F 4 2 3'
loop_
_atom_site_label
_atom_site_type_symbol
_atom_site_fract_x
_atom_site_fract_y
_atom_site_fract_z
Bi1 Bi 0.2500 0.2500 0.2500
B1 B 0.0000 0.0000 0.0000
I1 I 0.0000 0.0000 0.5000
```

For the energy relative to the elements, uncorrected, the calculation gives 1177 meV/atom. The calculation puts the distance to the lowest polymorph of the same formula at 559 meV per atom.

Number 1: magnetization 0.0 μB/f.u.. Number 2: magnetization 0.0 μB/f.u.. Number 3: magnetization 1.8 μB/f.u.. Number 4: magnetization 0.2 μB/f.u.. Number 5: magnetization 0.0 μB/f.u.. Number 6: magnetization 0.0 μB/f.u.. Number 7: magnetization 0.0 μB/f.u.. Number 8: magnetization 0.0 μB/f.u.. Number 9: magnetization 0.0 μB/f.u.. Number 10: magnetization 0.0 μB/f.u.. Number 11: magnetization 0.0 μB/f.u.. Number 12: magnetization 0.0 μB/f.u.. Number 13: magnetization 0.0 μB/f.u..